#i
This record from Alexandria via LeMat-Bulk describes a geometry-optimized MgBeC2 structure. The functional is PBE. Values from VASP.

The structure in Quantum ESPRESSO input format:
```
&SYSTEM
  ibrav = 0, nat = 16, ntyp = 3
/
ATOMIC_SPECIES
Mg 24.30 Mg.upf
Be 9.01 Be.upf
C 12.01 C.upf
ATOMIC_POSITIONS crystal
Mg 0.0000 0.0000 0.0000
Mg 0.0000 0.5000 0.5000
Mg 0.5000 0.0000 0.5000
Mg 0.5000 0.5000 0.0000
Be 0.0000 0.0000 0.5000
Be 0.0000 0.5000 0.0000
Be 0.5000 0.0000 0.0000
Be 0.5000 0.5000 0.5000
C 0.2500 0.2500 0.2500
C 0.2500 0.2500 0.7500
C 0.2500 0.7500 0.2500
C 0.2500 0.7500 0.7500
C 0.7500 0.2500 0.2500
C 0.7500 0.2500 0.7500
C 0.7500 0.7500 0.2500
C 0.7500 0.7500 0.7500
CELL_PARAMETERS angstrom
5.2439 0.0000 0.0000
0.0000 5.2439 0.0000
0.0000 0.0000 5.2439
```

***

#ii
This record from Alexandria via LeMat-Bulk describes a geometry-optimized MgBeC2 structure. The functional is PBE. Values from VASP.

The structure in Quantum ESPRESSO input format:
```
&SYSTEM
  ibrav = 0, nat = 16, ntyp = 3
/
ATOMIC_SPECIES
Mg 24.30 Mg.upf
Be 9.01 Be.upf
C 12.01 C.upf
ATOMIC_POSITIONS crystal
Mg 0.0000 0.0000 0.0000
Mg 0.0000 0.5000 0.2500
Mg 0.5000 0.0000 0.7500
Mg 0.5000 0.5000 0.5000
Be 0.0000 0.0000 0.5000
Be 0.0000 0.5000 0.7500
Be 0.5000 0.0000 0.2500
Be 0.5000 0.5000 0.0000
C 0.0997 0.2500 0.6250
C 0.2500 0.5997 0.8750
C 0.2500 0.9003 0.3750
C 0.4003 0.2500 0.1250
C 0.5997 0.7500 0.1250
C 0.7500 0.0997 0.3750
C 0.7500 0.4003 0.8750
C 0.9003 0.7500 0.6250
CELL_PARAMETERS angstrom
3.6082 0.0000 0.0000
0.0000 3.6082 0.0000
0.0000 0.0000 11.6856
```

***

Which structure loses on stability? #i does.

***

#i
This record from Alexandria via LeMat-Bulk describes a geometry-optimized MgBeC3 structure. The functional is PBE. Values from VASP.

The structure in Quantum ESPRESSO input format:
```
&SYSTEM
  ibrav = 0, nat = 5, ntyp = 3
/
ATOMIC_SPECIES
Mg 24.30 Mg.upf
Be 9.01 Be.upf
C 12.01 C.upf
ATOMIC_POSITIONS crystal
Mg 0.0000 0.0000 0.0000
Be 0.5000 0.5000 0.5000
C 0.0000 0.5000 0.5000
C 0.5000 0.0000 0.5000
C 0.5000 0.5000 0.0000
CELL_PARAMETERS angstrom
3.6137 0.0000 0.0000
0.0000 3.6137 0.0000
0.0000 0.0000 3.6137
```

***

#ii
This record from Alexandria via LeMat-Bulk describes a geometry-optimized MgBeC3 structure. The functional is PBE. Values from VASP.

The structure in Quantum ESPRESSO input format:
```
&SYSTEM
  ibrav = 0, nat = 5, ntyp = 3
/
ATOMIC_SPECIES
Mg 24.30 Mg.upf
Be 9.01 Be.upf
C 12.01 C.upf
ATOMIC_POSITIONS crystal
Mg 0.0000 0.0000 0.0000
Be 0.5000 0.5000 0.5000
C 0.0000 0.0000 0.5000
C 0.0000 0.5000 0.0000
C 0.5000 0.0000 0.0000
CELL_PARAMETERS angstrom
4.0343 0.0000 0.0000
0.0000 4.0343 0.0000
0.0000 0.0000 4.0343
```

***

Which structure loses on stability? #ii does.

***

#i
This record from Alexandria via LeMat-Bulk describes a geometry-optimized MgBeC2Se structure. The functional is PBE. Values from VASP.

The structure in Quantum ESPRESSO input format:
```
&SYSTEM
  ibrav = 0, nat = 5, ntyp = 4
/
ATOMIC_SPECIES
Mg 24.30 Mg.upf
Be 9.01 Be.upf
C 12.01 C.upf
Se 78.96 Se.upf
ATOMIC_POSITIONS crystal
Mg 0.0000 0.0000 0.0000
Be 0.5000 0.5000 0.0000
C 0.0000 0.5000 0.5000
C 0.5000 0.0000 0.5000
Se 0.5000 0.5000 0.5000
CELL_PARAMETERS angstrom
4.1742 0.0000 0.0000
0.0000 4.1742 0.0000
0.0000 0.0000 4.0610
```

***

#ii
This record from Alexandria via LeMat-Bulk describes a geometry-optimized MgBeC2Se structure. The functional is PBE. Values from VASP.

The structure in Quantum ESPRESSO input format:
```
&SYSTEM
  ibrav = 0, nat = 5, ntyp = 4
/
ATOMIC_SPECIES
Mg 24.30 Mg.upf
Be 9.01 Be.upf
C 12.01 C.upf
Se 78.96 Se.upf
ATOMIC_POSITIONS crystal
Mg 0.0000 0.0000 0.0000
Be 0.0000 0.0000 0.5000
C 0.0000 0.5000 0.0000
C 0.5000 0.0000 0.0000
Se 0.5000 0.5000 0.5000
CELL_PARAMETERS angstrom
4.0246 0.0000 0.0000
0.0000 4.0246 0.0000
0.0000 0.0000 5.0031
```

***

Which structure loses on stability? #ii does.

***

#i
This record from Alexandria via LeMat-Bulk describes a geometry-optimized Mn2BeC structure. The functional is PBE. Values from VASP.

The structure in Quantum ESPRESSO input format:
```
&SYSTEM
  ibrav = 0, nat = 16, ntyp = 3
/
ATOMIC_SPECIES
Mn 54.94 Mn.upf
Be 9.01 Be.upf
C 12.01 C.upf
ATOMIC_POSITIONS crystal
Mn 0.1496 0.2500 0.1250
Mn 0.2500 0.6496 0.3750
Mn 0.2500 0.8504 0.8750
Mn 0.3504 0.2500 0.6250
Mn 0.6496 0.7500 0.6250
Mn 0.7500 0.1496 0.8750
Mn 0.7500 0.3504 0.3750
Mn 0.8504 0.7500 0.1250
Be 0.0000 0.0000 0.5000
Be 0.0000 0.5000 0.7500
Be 0.5000 0.0000 0.2500
Be 0.5000 0.5000 0.0000
C 0.0000 0.0000 0.0000
C 0.0000 0.5000 0.2500
C 0.5000 0.0000 0.7500
C 0.5000 0.5000 0.5000
CELL_PARAMETERS angstrom
6.4024 0.0000 0.0000
0.0000 6.4024 0.0000
0.0000 0.0000 3.6720
```

***

#ii
This record from Alexandria via LeMat-Bulk describes a geometry-optimized Mn2BeC structure. The functional is PBE. Values from VASP.

The structure in Quantum ESPRESSO input format:
```
&SYSTEM
  ibrav = 0, nat = 12, ntyp = 3
/
ATOMIC_SPECIES
Mn 54.94 Mn.upf
Be 9.01 Be.upf
C 12.01 C.upf
ATOMIC_POSITIONS crystal
Mn 0.0000 0.0000 0.0000
Mn 0.0000 0.0000 0.2077
Mn 0.3333 0.6667 0.6667
Mn 0.3333 0.6667 0.8743
Mn 0.6667 0.3333 0.3333
Mn 0.6667 0.3333 0.5410
Be 0.0000 0.0000 0.7706
Be 0.3333 0.6667 0.4373
Be 0.6667 0.3333 0.1039
C 0.0000 0.0000 0.6042
C 0.3333 0.6667 0.2709
C 0.6667 0.3333 0.9375
CELL_PARAMETERS angstrom
2.7636 0.0000 0.0000
-1.3818 2.3933 0.0000
0.0000 0.0000 17.6779
```

***

Which structure loses on stability? #i does.

***

#i
This record from Alexandria via LeMat-Bulk describes a geometry-optimized BeMo2C structure. The functional is PBE. Values from VASP.

The structure in Quantum ESPRESSO input format:
```
&SYSTEM
  ibrav = 0, nat = 12, ntyp = 3
/
ATOMIC_SPECIES
Be 9.01 Be.upf
Mo 95.94 Mo.upf
C 12.01 C.upf
ATOMIC_POSITIONS crystal
Be 0.0000 0.0000 0.0000
Be 0.3333 0.6667 0.6667
Be 0.6667 0.3333 0.3333
Mo 0.0000 0.0000 0.2349
Mo 0.0000 0.0000 0.7651
Mo 0.3333 0.6667 0.4318
Mo 0.3333 0.6667 0.9016
Mo 0.6667 0.3333 0.0984
Mo 0.6667 0.3333 0.5682
C 0.0000 0.0000 0.5000
C 0.3333 0.6667 0.1667
C 0.6667 0.3333 0.8333
CELL_PARAMETERS angstrom
3.1088 0.0000 0.0000
-1.5544 2.6923 0.0000
0.0000 0.0000 16.8973
```

***

#ii
This record from Alexandria via LeMat-Bulk describes a geometry-optimized BeMo2C structure. The functional is PBE. Values from VASP.

The structure in Quantum ESPRESSO input format:
```
&SYSTEM
  ibrav = 0, nat = 16, ntyp = 3
/
ATOMIC_SPECIES
Be 9.01 Be.upf
Mo 95.94 Mo.upf
C 12.01 C.upf
ATOMIC_POSITIONS crystal
Be 0.0000 0.0000 0.0000
Be 0.0000 0.5000 0.2500
Be 0.5000 0.0000 0.7500
Be 0.5000 0.5000 0.5000
Mo 0.1924 0.2500 0.6250
Mo 0.2500 0.6924 0.8750
Mo 0.2500 0.8076 0.3750
Mo 0.3076 0.2500 0.1250
Mo 0.6924 0.7500 0.1250
Mo 0.7500 0.1924 0.3750
Mo 0.7500 0.3076 0.8750
Mo 0.8076 0.7500 0.6250
C 0.0000 0.0000 0.5000
C 0.0000 0.5000 0.7500
C 0.5000 0.0000 0.2500
C 0.5000 0.5000 0.0000
CELL_PARAMETERS angstrom
4.8275 0.0000 0.0000
0.0000 4.8275 0.0000
0.0000 0.0000 10.1423
```

***

Which structure loses on stability? #ii does.

***

#i
This record from Alexandria via LeMat-Bulk describes a geometry-optimized BeMoC3 structure. The functional is PBE. Values from VASP.

The structure in Quantum ESPRESSO input format:
```
&SYSTEM
  ibrav = 0, nat = 5, ntyp = 3
/
ATOMIC_SPECIES
Be 9.01 Be.upf
Mo 95.94 Mo.upf
C 12.01 C.upf
ATOMIC_POSITIONS crystal
Be 0.0000 0.0000 0.0000
Mo 0.5000 0.5000 0.5000
C 0.0000 0.5000 0.5000
C 0.5000 0.0000 0.5000
C 0.5000 0.5000 0.0000
CELL_PARAMETERS angstrom
4.0652 0.0000 0.0000
0.0000 4.0652 0.0000
0.0000 0.0000 4.0652
```

***

#ii
This record from Alexandria via LeMat-Bulk describes a geometry-optimized BeMoC3 structure. The functional is PBE. Values from VASP.

The structure in Quantum ESPRESSO input format:
```
&SYSTEM
  ibrav = 0, nat = 5, ntyp = 3
/
ATOMIC_SPECIES
Be 9.01 Be.upf
Mo 95.94 Mo.upf
C 12.01 C.upf
ATOMIC_POSITIONS crystal
Be 0.0000 0.0000 0.0000
Mo 0.5000 0.5000 0.5000
C 0.0000 0.0000 0.5000
C 0.0000 0.5000 0.0000
C 0.5000 0.0000 0.0000
CELL_PARAMETERS angstrom
3.5028 0.0000 0.0000
0.0000 3.5028 0.0000
0.0000 0.0000 3.5028
```

***

Which structure loses on stability? #i does.